The following is a DFT calculation (PBE) of a relaxed Sc2MoRh crystal.

density = 6.8 Mg/m³
calculated formation energy = -0.1516 eV per atom

abc: 5.1648 5.1648 5.1648
angles: 141.47 122.87 71.04
Positions (direct):
1 Mo 0.7500 0.2500 0.5000
2 Rh 0.2500 0.7500 0.5000
3 Sc 0.0120 0.0120 0.0000
4 Sc 0.4880 0.4880 0.0000


The following is a DFT calculation (PBE) of a relaxed Sc3MoRh crystal.

density = 4.9 Mg/m³
calculated formation energy = 0.5819 eV per atom
relative energy among the computed polymorphs = 194 meV per atom

abc: 4.8470 4.8470 4.8470
angles: 90.00 90.00 90.00
Positions (direct):
1 Sc 0.0000 0.5000 0.0000
2 Sc 0.0000 0.0000 0.5000
3 Sc 0.5000 0.0000 0.0000
4 Mo 0.0000 0.0000 0.0000
5 Rh 0.5000 0.5000 0.5000


The following is a DFT calculation (PBE) of a relaxed Sc2MoRh crystal.

density = 6.8 Mg/m³
calculated formation energy = -0.2910 eV per atom

abc: 4.7533 4.7533 3.1068
angles: 90.00 90.00 89.97
Positions (direct):
1 Mo 0.5000 0.0000 0.5000
2 Rh 0.0000 0.5000 0.5000
3 Sc 0.0000 0.0000 0.0000
4 Sc 0.5000 0.5000 0.0000


The following is a DFT calculation (PBE) of a relaxed ScMo3Rh crystal.

density = 6.8 Mg/m³
calculated formation energy = 1.2754 eV per atom
relative energy among the computed polymorphs = 0 meV per atom

abc: 4.7283 4.7283 4.7283
angles: 90.00 90.00 90.00
Positions (direct):
1 Sc 0.5000 0.5000 0.5000
2 Mo 0.0000 0.5000 0.0000
3 Mo 0.0000 0.0000 0.5000
4 Mo 0.5000 0.0000 0.0000
5 Rh 0.0000 0.0000 0.0000


The following is a DFT calculation (PBE) of a relaxed Sc2MoRh crystal.

density = 6.9 Mg/m³
calculated formation energy = -0.0598 eV per atom

abc: 4.6106 4.6106 4.6106
angles: 60.00 60.00 60.00
Positions (direct):
1 Mo 0.5000 0.5000 0.5000
2 Rh 0.7500 0.7500 0.7500
3 Sc 0.0000 0.0000 0.0000
4 Sc 0.2500 0.2500 0.2500


The following is a DFT calculation (PBE) of a relaxed ScMo2Rh9 crystal.

density = 10.8 Mg/m³
calculated formation energy = -0.2112 eV per atom

abc: 6.7709 4.7616 8.3714
angles: 54.41 56.67 61.38
Positions (direct):
1 Sc 0.0000 0.0000 0.0000
2 Mo 0.2527 0.0973 0.5605
3 Mo 0.7473 0.9027 0.4395
4 Rh 0.2568 0.4302 0.9107
5 Rh 0.7432 0.5698 0.0893
6 Rh 0.5000 0.5000 0.5000
7 Rh 0.5129 0.8263 0.8291
8 Rh 0.7508 0.2526 0.7422
9 Rh 0.0101 0.6595 0.6672
10 Rh 0.4871 0.1737 0.1709
11 Rh 0.9899 0.3405 0.3328
12 Rh 0.2492 0.7474 0.2578


The following is a DFT calculation (PBE) of a relaxed ScMo4Rh crystal.

density = 8.6 Mg/m³
calculated formation energy = 0.1366 eV per atom

abc: 5.2574 5.2574 5.2574
angles: 60.00 60.00 60.00
Positions (direct):
1 Sc 0.0000 0.0000 0.0000
2 Mo 0.8792 0.3736 0.3736
3 Mo 0.3736 0.3736 0.8792
4 Mo 0.3736 0.8792 0.3736
5 Mo 0.3736 0.3736 0.3736
6 Rh 0.7500 0.7500 0.7500


The following is a DFT calculation (PBE) of a relaxed ScTc2MoRh crystal.

density = 8.0 Mg/m³
calculated formation energy = 1.8880 eV per atom
relative energy among the computed polymorphs = 958 meV per atom

abc: 4.4707 4.5668 4.4707
angles: 90.00 90.00 90.00
Positions (direct):
1 Sc 0.0000 0.0000 0.0000
2 Mo 0.0000 0.5000 0.0000
3 Rh 0.5000 0.5000 0.5000
4 Tc 0.0000 0.0000 0.5000
5 Tc 0.5000 0.0000 0.0000


The following is a DFT calculation (PBE) of a relaxed ScTc2MoRh crystal.

density = 7.2 Mg/m³
calculated formation energy = 0.9300 eV per atom
relative energy among the computed polymorphs = 0 meV per atom

abc: 4.6411 4.7185 4.6411
angles: 90.00 90.00 90.00
Positions (direct):
1 Sc 0.5000 0.5000 0.5000
2 Mo 0.0000 0.0000 0.0000
3 Rh 0.0000 0.5000 0.0000
4 Tc 0.0000 0.0000 0.5000
5 Tc 0.5000 0.0000 0.0000


The following is a DFT calculation (PBE) of a relaxed ZrSc2MoRh crystal.

density = 5.5 Mg/m³
calculated formation energy = 0.3894 eV per atom

abc: 4.8138 4.9271 4.8138
angles: 90.00 90.00 90.00
Positions (direct):
1 Sc 0.0000 0.0000 0.5000
2 Sc 0.5000 0.0000 0.0000
3 Mo 0.0000 0.5000 0.0000
4 Rh 0.0000 0.0000 0.0000
5 Zr 0.5000 0.5000 0.5000


The following is a DFT calculation (PBE) of a relaxed MoRh2Se crystal.

density = 10.6 Mg/m³
E_form (uncorrected) = 21 meV/atom

abc: 5.1470 5.1470 5.1470
angles: 144.54 130.16 62.65
Positions (direct):
1 Mo 0.2500 0.7500 0.5000
2 Rh 0.9786 0.9786 0.0000
3 Rh 0.5214 0.5214 0.0000
4 Se 0.7500 0.2500 0.5000


The following is a DFT calculation (PBE) of a relaxed MoRh3Se crystal.

density = 8.6 Mg/m³
E_form (uncorrected) = 899 meV/atom
relative energy among the computed polymorphs = 0 meV per atom

abc: 4.5408 4.5408 4.5408
angles: 90.00 90.00 90.00
Each line ends with the local moment (μB).
Positions (direct):
1 Mo 0.5000 0.5000 0.5000  2.99
2 Rh 0.0000 0.5000 0.0000  0.27
3 Rh 0.0000 0.0000 0.5000  0.18
4 Rh 0.5000 0.0000 0.0000  0.35
5 Se 0.0000 0.0000 0.0000  0.07